TeMo after structural relaxation. Source: Alexandria via LeMat-Bulk, functional PBE.

Unit cell a=4.386 b=4.386 c=5.203 alpha=90.00 beta=90.00 gamma=120.00
Fractional coordinates of all 4 atoms:
Te 0.333 0.667 0.250
Te 0.667 0.333 0.750
Mo 0.000 0.000 0.500
Mo 0.000 0.000 0.000

Output
energy above the most stable polymorph in this dataset: 248.3 meV/atom
total energy: -13.51 eV per formula unit

=====

Te2Mo after structural relaxation. Source: Alexandria via LeMat-Bulk, functional PBE.

Unit cell a=3.509 b=3.509 c=7.712 alpha=90.00 beta=90.00 gamma=120.00
Fractional coordinates of all 3 atoms:
Te 0.667 0.333 0.759
Te 0.333 0.667 0.241
Mo 0.000 0.000 0.000

Output
total energy: -17.45 eV per formula unit

=====

Te2Mo after structural relaxation. Source: Alexandria via LeMat-Bulk, functional PBE.

Unit cell a=3.458 b=6.385 c=8.075 alpha=102.97 beta=102.36 gamma=90.00
Fractional coordinates of all 6 atoms:
Te 0.885 0.655 0.770
Te 0.653 0.876 0.307
Te 0.347 0.124 0.693
Te 0.115 0.345 0.230
Mo 0.744 0.315 0.488
Mo 0.256 0.685 0.512

Output
total energy: -17.91 eV per formula unit

=====

TeMo after structural relaxation. Source: Alexandria via LeMat-Bulk, functional PBE.

Unit cell a=3.436 b=5.818 c=14.345 alpha=90.00 beta=90.00 gamma=90.00
Fractional coordinates of all 12 atoms:
Mo 0.500 0.059 0.819
Mo 0.500 0.059 0.181
Mo 0.500 0.576 0.500
Mo 0.000 0.424 0.000
Mo 0.000 0.941 0.319
Mo 0.000 0.941 0.681
Te 0.500 0.299 0.346
Te 0.000 0.701 0.846
Te 0.000 0.701 0.154
Te 0.500 0.090 0.000
Te 0.000 0.910 0.500
Te 0.500 0.299 0.654

Output
energy above the most stable polymorph in this dataset: 482.4 meV/atom
total energy: -13.04 eV per formula unit

=====

Te2Mo after structural relaxation. Source: Alexandria via LeMat-Bulk, functional PBE.

Unit cell a=8.650 b=8.650 c=4.953 alpha=90.00 beta=90.00 gamma=157.10
Fractional coordinates of all 6 atoms:
Te 0.431 0.569 0.250
Te 0.694 0.306 0.250
Te 0.569 0.431 0.750
Te 0.306 0.694 0.750
Mo 0.939 0.061 0.750
Mo 0.061 0.939 0.250

Output
total energy: -16.52 eV per formula unit

=====

TeMo after structural relaxation. Source: Alexandria via LeMat-Bulk, functional PBE.

Unit cell a=7.503 b=7.503 c=7.503 alpha=90.00 beta=90.00 gamma=90.00
Each line ends with the local moment (μB).
Fractional coordinates of all 12 atoms:
Te 0.000 0.500 0.250  -0.04
Te 0.000 0.500 0.750  -0.04
Te 0.750 0.000 0.500  -0.04
Te 0.500 0.750 0.000  -0.04
Te 0.250 0.000 0.500  -0.04
Te 0.500 0.250 0.000  -0.04
Mo 0.250 0.500 0.000  1.00
Mo 0.000 0.250 0.500  1.00
Mo 0.500 0.000 0.750  1.00
Mo 0.500 0.000 0.250  1.00
Mo 0.000 0.750 0.500  1.00
Mo 0.750 0.500 0.000  1.00

Output
energy above the most stable polymorph in this dataset: 1027.9 meV/atom
total energy: -11.95 eV per formula unit

=====

TeMo after structural relaxation. Source: Alexandria via LeMat-Bulk, functional PBE.

Unit cell a=5.458 b=5.458 c=5.458 alpha=90.00 beta=90.00 gamma=90.00
Fractional coordinates of all 8 atoms:
Mo 0.141 0.641 0.859
Mo 0.359 0.359 0.359
Mo 0.641 0.859 0.141
Mo 0.859 0.141 0.641
Te 0.426 0.926 0.574
Te 0.926 0.574 0.426
Te 0.074 0.074 0.074
Te 0.574 0.426 0.926

Output
energy above the most stable polymorph in this dataset: 323.9 meV/atom
total energy: -13.35 eV per formula unit

=====

TeMo5 after structural relaxation. Source: Alexandria via LeMat-Bulk, functional PBE.

Unit cell a=5.293 b=5.293 c=6.378 alpha=72.36 beta=72.36 gamma=35.93
Fractional coordinates of all 6 atoms:
Mo 0.330 0.330 0.342
Mo 0.670 0.670 0.658
Mo 0.669 0.669 0.170
Mo 0.000 0.000 0.500
Mo 0.331 0.331 0.830
Te 0.000 0.000 0.000

Output
energy above the most stable polymorph in this dataset: 31.6 meV/atom
total energy: -56.11 eV per formula unit

=====

These records have Fermi-level density of states values of 2.36, 0.66, 0.77, 1.66, 2.46, 1.98, 0.13, 4.05 states/eV/f.u., in the order they appear.